# 1
An optimized crystal structure of AgP2IrO, computed with PBE.

As for the calculated density: 7.358 g/cm³. The energy relative to the lowest polymorph listed for this composition is 5.00 eV per formula unit.

The structure belongs to space group P4/mmm (No. 123); the cell edges are 4.7586, 4.7586 and 3.7674 Å and the angles 90.00°, 90.00° and 90.00°. The distinct sites, in fractional coordinates, are Ag at (0.0000, 0.0000, 0.0000), P at (0.0000, 0.5000, 0.0000), Ir at (0.5000, 0.5000, 0.5000) and O at (0.0000, 0.0000, 0.5000).

---

# 2
An optimized crystal structure of AcInSi, computed with PBE.

As for the calculated density: 6.971 g/cm³. The energy relative to the lowest polymorph listed for this composition is 0.57 eV per formula unit.

The structure belongs to space group P1 (No. 1); the cell edges are 6.0701, 7.4321 and 8.8429 Å and the angles 66.08°, 75.64° and 80.76°. The distinct sites, in fractional coordinates, are Ac at (0.0000, 0.0000, 0.0000), Ac at (0.0756, 0.4238, 0.1671), Ac at (0.5440, 0.3547, 0.7193), Ac at (0.6608, 0.9402, 0.4646), In at (0.1119, 0.1367, 0.5814), In at (0.2160, 0.7174, 0.3674), In at (0.5857, 0.7355, 0.9858), In at (0.9822, 0.5560, 0.7487), Si at (0.2961, 0.7490, 0.7898), Si at (0.4307, 0.0553, 0.1131), Si at (0.4880, 0.3863, 0.3601) and Si at (0.6274, 0.3045, 0.1094).